# 1
# IrRhI2

Crystalline IrRhI2 at its relaxed geometry (PBE, the Alexandria database).

Calculated values
**Excess energy over the best structure of this formula in the dataset**: 0.00 eV per formula unit
**ΔE_f (raw)**: 0.677 eV per atom
**E**: -16.6 eV per formula unit

Unit cell a=6.003 b=6.003 c=7.351 alpha=65.90 beta=65.90 gamma=90.00
Positions (direct):
Rh 0.500 0.500 0.000
Rh 0.250 0.750 0.500
Ir 0.750 0.250 0.500
Ir 0.000 0.000 0.000
I 0.123 0.625 0.250
I 0.375 0.373 0.750
I 0.627 0.125 0.250
I 0.875 0.877 0.750



# 2
# IrRhI3

Crystalline IrRhI3 at its relaxed geometry (PBE, the Alexandria database).

Calculated values
**ΔE_f (raw)**: 1.034 eV per atom
**E**: -15.7 eV per formula unit

Unit cell a=5.389 b=5.389 c=5.389 alpha=90.00 beta=90.00 gamma=90.00
Positions (direct):
I 0.500 0.000 0.000
I 0.000 0.000 0.500
I 0.000 0.500 0.000
Rh 0.500 0.500 0.500
Ir 0.000 0.000 0.000



# 3
# IrRhS2I

Crystalline IrRhS2I at its relaxed geometry (PBE, the Alexandria database).

Calculated values
**ΔE_f (raw)**: 0.864 eV per atom
**E**: -21.7 eV per formula unit

Unit cell a=4.470 b=4.470 c=6.024 alpha=90.00 beta=90.00 gamma=90.00
Positions (direct):
I 0.000 0.000 0.500
S 0.500 0.000 0.000
S 0.000 0.500 0.000
Ir 0.000 0.000 0.000
Rh 0.500 0.500 0.500



# 4
# Sm8Ir3RhI4

Crystalline Sm8Ir3RhI4 at its relaxed geometry (PBE, the Alexandria database).

Calculated values
**ΔE_f (raw)**: -0.966 eV per atom
**E**: -93.3 eV per formula unit

Unit cell a=8.345 b=9.370 c=8.344 alpha=116.49 beta=120.00 gamma=90.00
Positions (direct):
I 0.500 0.000 0.500
I 0.000 0.000 0.000
I 0.000 0.000 0.500
I 0.500 0.000 0.000
Ir 0.500 0.500 0.000
Ir 0.000 0.500 0.500
Ir 0.500 0.500 0.500
Sm 0.274 0.317 0.046
Sm 0.772 0.317 0.046
Sm 0.228 0.683 0.954
Sm 0.728 0.682 0.455
Sm 0.726 0.683 0.954
Sm 0.272 0.318 0.545
Sm 0.772 0.317 0.543
Sm 0.228 0.683 0.457
Rh 0.000 0.500 0.000



# 5
# Sm6IrRh2I3

Crystalline Sm6IrRh2I3 at its relaxed geometry (PBE, the Alexandria database).

Calculated values
**ΔE_f (raw)**: -0.957 eV per atom
**E**: -68.0 eV per formula unit

Unit cell a=7.188 b=7.188 c=8.406 alpha=98.19 beta=98.19 gamma=120.01
Positions (direct):
I 0.167 0.833 0.500
I 0.500 0.500 0.500
I 0.833 0.167 0.500
Sm 0.061 0.394 0.184
Sm 0.606 0.939 0.816
Sm 0.939 0.606 0.816
Sm 0.729 0.729 0.184
Sm 0.394 0.061 0.184
Sm 0.271 0.271 0.816
Rh 0.333 0.667 0.000
Rh 0.667 0.333 0.000
Ir 0.000 0.000 0.000



# 6
# Sm8IrRh3I4

Crystalline Sm8IrRh3I4 at its relaxed geometry (PBE, the Alexandria database).

Calculated values
**ΔE_f (raw)**: -0.954 eV per atom
**E**: -90.1 eV per formula unit

Unit cell a=8.297 b=9.378 c=8.298 alpha=116.31 beta=120.00 gamma=90.00
Positions (direct):
I 0.000 0.000 0.000
I 0.500 0.000 0.000
I 0.000 0.000 0.500
I 0.500 0.000 0.500
Rh 0.500 0.500 0.500
Rh 0.000 0.500 0.500
Rh 0.500 0.500 0.000
Sm 0.272 0.316 0.544
Sm 0.728 0.684 0.456
Sm 0.271 0.316 0.044
Sm 0.227 0.684 0.956
Sm 0.227 0.683 0.455
Sm 0.773 0.317 0.545
Sm 0.773 0.316 0.044
Sm 0.729 0.684 0.956
Ir 0.000 0.500 0.000



# 7
# SrIrRhI2

Crystalline SrIrRhI2 at its relaxed geometry (PBE, the Alexandria database).

Calculated values
**ΔE_f (raw)**: 0.035 eV per atom
**E**: -20.8 eV per formula unit

Unit cell a=5.450 b=4.867 c=5.450 alpha=90.00 beta=90.00 gamma=90.00
Positions (direct):
Ir 0.000 0.000 0.000
Rh 0.000 0.500 0.000
I 0.500 0.000 0.000
I 0.000 0.000 0.500
Sr 0.500 0.500 0.500



# 8
# TaIrRhI2

Crystalline TaIrRhI2 at its relaxed geometry (PBE, the Alexandria database).

Calculated values
**ΔE_f (raw)**: 1.422 eV per atom
**E**: -24.1 eV per formula unit

Unit cell a=5.411 b=4.889 c=5.411 alpha=90.00 beta=90.00 gamma=90.00
Positions (direct):
Ta 0.000 0.000 0.000
Rh 0.500 0.500 0.500
I 0.000 0.000 0.500
I 0.500 0.000 0.000
Ir 0.000 0.500 0.000



# 9
# Tb6Ir2RhI3

Crystalline Tb6Ir2RhI3 at its relaxed geometry (PBE, the Alexandria database).

Calculated values
**ΔE_f (raw)**: -0.975 eV per atom
**E**: -69.2 eV per formula unit

Unit cell a=7.117 b=7.117 c=8.275 alpha=98.24 beta=98.24 gamma=120.01
Positions (direct):
Tb 0.395 0.060 0.181
Tb 0.940 0.605 0.819
Tb 0.726 0.726 0.181
Tb 0.060 0.395 0.181
Tb 0.274 0.274 0.819
Tb 0.605 0.940 0.819
Rh 0.000 0.000 0.000
I 0.167 0.833 0.500
I 0.833 0.167 0.500
I 0.500 0.500 0.500
Ir 0.667 0.333 0.000
Ir 0.333 0.667 0.000



# 10
# TeIrRhI2

Crystalline TeIrRhI2 at its relaxed geometry (PBE, the Alexandria database).

Calculated values
**Excess energy over the best structure of this formula in the dataset**: 0.00 eV per formula unit
**ΔE_f (raw)**: 1.028 eV per atom
**E**: -17.3 eV per formula unit

Unit cell a=5.547 b=5.547 c=5.021 alpha=90.00 beta=90.00 gamma=90.00
Positions (direct):
I 0.500 0.000 0.000
I 0.000 0.500 0.000
Rh 0.500 0.500 0.500
Ir 0.000 0.000 0.000
Te 0.000 0.000 0.500



# 11
# IrRuI3

Crystalline IrRuI3 at its relaxed geometry (PBE, the Alexandria database).

Calculated values
**Excess energy over the best structure of this formula in the dataset**: 0.90 eV per formula unit
**ΔE_f (raw)**: 1.405 eV per atom
**E**: -15.8 eV per formula unit

Unit cell a=5.291 b=5.291 c=5.291 alpha=90.00 beta=90.00 gamma=90.00
Positions (direct):
I 0.000 0.000 0.500
I 0.500 0.000 0.000
I 0.000 0.500 0.000
Ru 0.000 0.000 0.000
Ir 0.500 0.500 0.500



# 12
# Ir2RuI

Crystalline Ir2RuI at its relaxed geometry (PBE, the Alexandria database).

Calculated values
**Excess energy over the best structure of this formula in the dataset**: 0.00 eV per formula unit
**ΔE_f (raw)**: 1.092 eV per atom
**E**: -24.2 eV per formula unit

Unit cell a=6.360 b=6.360 c=6.410 alpha=60.26 beta=60.26 gamma=90.00
Positions (direct):
Ru 0.500 0.500 0.000
Ru 0.250 0.750 0.500
Ir 0.160 0.625 0.250
Ir 0.375 0.410 0.750
Ir 0.590 0.125 0.250
Ir 0.875 0.840 0.750
I 0.000 0.000 0.000
I 0.750 0.250 0.500



What is the E in the fourth record?
-93.3 eV per formula unit



Among the records above, which one has the highest E?
IrRhI3